The following is a PBE+U calculation of crystalline CrMoAsO6 at its relaxed geometry, from Alexandria via LeMat-Bulk.

a b c (Å): 5.0680 5.0680 8.6959
angles (deg): 90.00 90.00 120.00
Each line ends with the local moment (μB).
Positions (direct):
Mo 0.3333 0.6667 0.2500  1.83
Mo 0.6667 0.3333 0.7500  1.83
O 0.6697 0.0264 0.3698  -0.01
O 0.6433 0.9736 0.8698  -0.01
O 0.3567 0.0264 0.1302  -0.01
O 0.3303 0.9736 0.6302  -0.01
O 0.9736 0.3303 0.1302  -0.01
O 0.0264 0.3567 0.6302  -0.01
O 0.0264 0.6697 0.8698  -0.01
O 0.3303 0.3567 0.8698  -0.01
O 0.6697 0.6433 0.1302  -0.01
O 0.6433 0.6697 0.6302  -0.01
O 0.9736 0.6433 0.3698  -0.01
O 0.3567 0.3303 0.3698  -0.01
As 0.3333 0.6667 0.7500  0.03
As 0.6667 0.3333 0.2500  0.03
Cr 0.0000 0.0000 0.0000  3.06
Cr 0.0000 0.0000 0.5000  3.06

Properties
The electronic total energy comes out at -62.2 eV per formula unit. As for the space-group type: P-31c.